Record 1
This record from Alexandria describes an optimized crystal structure of Cu3Rh. The functional is PBEsol.

The structure in POSCAR format:
```
Cu3Rh
1.0
-1.151 -3.455 -0.129
2.263 -0.856 2.725
-5.721 3.699 3.476
Cu Rh
6 2
Direct
0.126 0.126 0.251
0.250 0.750 0.500
0.750 0.250 0.500
0.500 0.000 0.000
0.874 0.874 0.749
0.000 0.500 0.000
0.625 0.625 0.251
0.375 0.375 0.749
```

Properties
Final energy, eV per atom: -5.229

---

Record 2
This record from Alexandria describes an optimized crystal structure of Cu3Rh. The functional is PBEsol.

The structure in POSCAR format:
```
Cu3Rh
1.0
-1.880 -1.573 -0.892
1.824 0.088 -4.001
2.893 -2.562 2.235
Cu Rh
3 1
Direct
0.753 0.755 0.505
0.500 0.000 0.000
0.247 0.245 0.495
0.000 0.500 0.000
```

Properties
Final energy, eV per atom: -5.228

---

Record 3
This record from Alexandria describes an optimized crystal structure of Cu2Rh. The functional is PBEsol.

The structure in POSCAR format:
```
Cu2Rh
1.0
-1.317 -2.242 0.052
4.700 -1.231 0.923
-2.368 1.517 5.460
Rh Cu
2 4
Direct
0.719 0.438 0.943
0.056 0.112 0.606
0.337 0.675 0.667
0.388 0.775 0.276
0.997 0.994 0.008
0.669 0.339 0.332
```

Properties
Final energy, eV per atom: -5.538
ΔE to the lowest computed polymorph, eV/atom: 0.017

---

Record 4
This record from Alexandria describes an optimized crystal structure of Cu2RuRh. The functional is PBEsol.

The structure in POSCAR format:
```
Cu2RuRh
1.0
2.664 0.000 0.000
0.000 2.664 0.000
0.000 0.000 7.032
Cu Ru Rh
2 1 1
Direct
0.500 0.500 0.239
0.000 0.000 0.010
0.500 0.500 0.751
0.000 0.000 0.500
```

Properties
Final energy, eV per atom: -6.654
ΔE to the lowest computed polymorph, eV/atom: 0.000

---

Record 5
This record from Alexandria describes an optimized crystal structure of Cu2RuRh. The functional is PBEsol.

The structure in POSCAR format:
```
Cu2RuRh
1.0
2.608 0.000 0.000
-1.304 4.295 0.010
0.000 -0.785 4.485
Rh Cu Ru
1 2 1
Direct
0.000 0.000 0.500
0.751 0.501 0.751
0.249 0.499 0.249
0.500 0.000 0.000
```

Properties
Final energy, eV per atom: -6.548
ΔE to the lowest computed polymorph, eV/atom: 0.107

---

Record 6
This record from Alexandria describes an optimized crystal structure of Cu2RuRh. The functional is PBEsol.

The structure in POSCAR format:
```
Cu2RuRh
1.0
-0.112 1.013 2.371
-1.967 -1.474 -0.786
3.993 -7.033 3.194
Cu Rh Ru
2 1 1
Direct
0.500 0.500 0.757
0.000 0.000 0.992
0.000 0.000 0.505
0.500 0.500 0.246
```

Properties
Final energy, eV per atom: -6.464
ΔE to the lowest computed polymorph, eV/atom: 0.190